DFT (PBE) results for a geometry-optimized ErCu4Rh2 structure.

Crystal system: monoclinic
Total DFT energy (no corrections), eV per atom: -5.32
E_form, eV/atom: -0.225
SG: C2/m

```
ErCu4Rh2
1.0
4.5468 -0.0051 2.4238
2.1166 4.4715 1.4896
0.1580 -0.3302 5.1535
Rh Cu Er
2 4 1
Direct
0.7531 0.4967 0.4967 Rh
0.2469 0.5033 0.5033 Rh
0.6901 0.6143 0.9998 Cu
0.3099 0.3857 0.0002 Cu
0.6901 0.9998 0.6144 Cu
0.3099 0.0002 0.3856 Cu
0.0000 0.0000 0.0000 Er
```